1.
Below is crystalline SrYMgAg at its relaxed geometry, with properties calculated at the GGA-PBE level.

a = 7.727 Å, b = 7.727 Å, c = 7.727 Å
α = 90.00°, β = 90.00°, γ = 90.00°
Fractional positions:
Sr (0.000, 0.000, 0.000)
Sr (0.000, 0.500, 0.500)
Sr (0.500, 0.000, 0.500)
Sr (0.500, 0.500, 0.000)
Y (0.000, 0.000, 0.500)
Y (0.000, 0.500, 0.000)
Y (0.500, 0.000, 0.000)
Y (0.500, 0.500, 0.500)
Mg (0.250, 0.250, 0.250)
Mg (0.250, 0.750, 0.750)
Mg (0.750, 0.250, 0.750)
Mg (0.750, 0.750, 0.250)
Ag (0.250, 0.250, 0.750)
Ag (0.250, 0.750, 0.250)
Ag (0.750, 0.250, 0.250)
Ag (0.750, 0.750, 0.750)

**Total energy**: -0.119 Ha/atom


2.
Below is crystalline Sr2MgZn2Ag5 at its relaxed geometry, with properties calculated at the GGA-PBE level.

a = 10.528 Å, b = 10.528 Å, c = 4.025 Å
α = 90.00°, β = 90.00°, γ = 90.00°
Fractional positions:
Sr (0.178, 0.322, 0.000)
Sr (0.322, 0.822, 0.000)
Sr (0.678, 0.178, 0.000)
Sr (0.822, 0.678, 0.000)
Mg (0.000, 0.000, 0.000)
Mg (0.500, 0.500, 0.000)
Zn (0.120, 0.620, 0.000)
Zn (0.380, 0.120, 0.000)
Zn (0.620, 0.880, 0.000)
Zn (0.880, 0.380, 0.000)
Ag (0.000, 0.500, 0.500)
Ag (0.058, 0.799, 0.500)
Ag (0.201, 0.058, 0.500)
Ag (0.299, 0.558, 0.500)
Ag (0.442, 0.299, 0.500)
Ag (0.500, 0.000, 0.500)
Ag (0.558, 0.701, 0.500)
Ag (0.701, 0.442, 0.500)
Ag (0.799, 0.942, 0.500)
Ag (0.942, 0.201, 0.500)

**Total energy**: -0.086 Ha/atom


3.
Below is crystalline Sr2Mg12ZnAg3 at its relaxed geometry, with properties calculated at the GGA-PBE level.

a = 10.806 Å, b = 10.806 Å, c = 10.806 Å
α = 41.01°, β = 41.01°, γ = 41.01°
Fractional positions:
Sr (0.150, 0.150, 0.150)
Sr (0.850, 0.850, 0.850)
Mg (0.091, 0.091, 0.684)
Mg (0.091, 0.684, 0.091)
Mg (0.151, 0.571, 0.571)
Mg (0.316, 0.909, 0.909)
Mg (0.429, 0.429, 0.849)
Mg (0.429, 0.849, 0.429)
Mg (0.571, 0.151, 0.571)
Mg (0.571, 0.571, 0.151)
Mg (0.684, 0.091, 0.091)
Mg (0.849, 0.429, 0.429)
Mg (0.909, 0.316, 0.909)
Mg (0.909, 0.909, 0.316)
Zn (0.500, 0.500, 0.500)
Ag (0.000, 0.500, 0.500)
Ag (0.500, 0.000, 0.500)
Ag (0.500, 0.500, 0.000)

**Total energy**: -0.062 Ha/atom


4.
Below is crystalline Sr2MgZnAg2 at its relaxed geometry, with properties calculated at the GGA-PBE level.

a = 9.002 Å, b = 9.002 Å, c = 9.002 Å
α = 137.61°, β = 61.86°, γ = 137.15°
Fractional positions:
Sr (0.168, 0.240, 0.408)
Sr (0.332, 0.740, 0.072)
Sr (0.668, 0.260, 0.928)
Sr (0.832, 0.760, 0.592)
Mg (0.250, 0.750, 0.500)
Mg (0.750, 0.250, 0.500)
Zn (0.250, 0.250, 0.000)
Zn (0.750, 0.750, 0.000)
Ag (0.104, 0.755, 0.859)
Ag (0.396, 0.255, 0.651)
Ag (0.604, 0.745, 0.349)
Ag (0.896, 0.245, 0.141)

**Total energy**: -0.082 Ha/atom


5.
Below is crystalline SrMgZnAg2 at its relaxed geometry, with properties calculated at the GGA-PBE level.

a = 4.133 Å, b = 4.549 Å, c = 12.508 Å
α = 90.00°, β = 90.00°, γ = 90.00°
Fractional positions:
Sr (0.000, 0.000, 0.000)
Sr (0.500, 0.500, 0.500)
Mg (0.000, 0.500, 0.747)
Mg (0.500, 0.000, 0.247)
Zn (0.000, 0.000, 0.612)
Zn (0.500, 0.500, 0.112)
Ag (0.000, 0.000, 0.399)
Ag (0.000, 0.500, 0.251)
Ag (0.500, 0.000, 0.751)
Ag (0.500, 0.500, 0.899)

**Total energy**: -0.084 Ha/atom


6.
Below is crystalline SrMg2Zn2Ag at its relaxed geometry, with properties calculated at the GGA-PBE level.

a = 5.219 Å, b = 5.219 Å, c = 11.653 Å
α = 90.00°, β = 90.00°, γ = 90.00°
Fractional positions:
Sr (0.000, 0.000, 0.000)
Sr (0.500, 0.500, 0.500)
Mg (0.000, 0.500, 0.250)
Mg (0.000, 0.500, 0.750)
Mg (0.500, 0.000, 0.250)
Mg (0.500, 0.000, 0.750)
Zn (0.000, 0.000, 0.283)
Zn (0.000, 0.000, 0.717)
Zn (0.500, 0.500, 0.217)
Zn (0.500, 0.500, 0.783)
Ag (0.000, 0.000, 0.500)
Ag (0.500, 0.500, 0.000)

**Total energy**: -0.061 Ha/atom


7.
Below is crystalline Sr2MgZn4Ag3 at its relaxed geometry, with properties calculated at the GGA-PBE level.

a = 4.480 Å, b = 4.480 Å, c = 11.392 Å
α = 90.00°, β = 90.00°, γ = 90.00°
Fractional positions:
Sr (0.000, 0.500, 0.241)
Sr (0.500, 0.000, 0.759)
Mg (0.000, 0.000, 0.500)
Zn (0.000, 0.000, 0.000)
Zn (0.000, 0.500, 0.641)
Zn (0.500, 0.000, 0.359)
Zn (0.500, 0.500, 0.000)
Ag (0.000, 0.500, 0.872)
Ag (0.500, 0.000, 0.128)
Ag (0.500, 0.500, 0.500)

**Total energy**: -0.076 Ha/atom


8.
Below is crystalline Sr2MgZn3Ag4 at its relaxed geometry, with properties calculated at the GGA-PBE level.

a = 4.582 Å, b = 4.582 Å, c = 11.009 Å
α = 90.00°, β = 90.00°, γ = 90.00°
Fractional positions:
Sr (0.000, 0.500, 0.239)
Sr (0.500, 0.000, 0.761)
Mg (0.000, 0.000, 0.500)
Zn (0.000, 0.500, 0.876)
Zn (0.500, 0.000, 0.124)
Zn (0.500, 0.500, 0.500)
Ag (0.000, 0.000, 0.000)
Ag (0.000, 0.500, 0.638)
Ag (0.500, 0.000, 0.362)
Ag (0.500, 0.500, 0.000)

**Total energy**: -0.082 Ha/atom


9.
Below is crystalline SrMgZn2Ag5 at its relaxed geometry, with properties calculated at the GGA-PBE level.

a = 5.007 Å, b = 5.007 Å, c = 7.675 Å
α = 90.00°, β = 90.00°, γ = 90.00°
Fractional positions:
Sr (0.000, 0.000, 0.000)
Mg (0.000, 0.000, 0.500)
Zn (0.500, 0.500, 0.340)
Zn (0.500, 0.500, 0.660)
Ag (0.000, 0.500, 0.289)
Ag (0.000, 0.500, 0.711)
Ag (0.500, 0.000, 0.289)
Ag (0.500, 0.000, 0.711)
Ag (0.500, 0.500, 0.000)

**Total energy**: -0.083 Ha/atom


10.
Below is crystalline SrMgZnAg3 at its relaxed geometry, with properties calculated at the GGA-PBE level.

a = 7.552 Å, b = 7.552 Å, c = 5.995 Å
α = 90.00°, β = 90.00°, γ = 124.40°
Fractional positions:
Sr (0.204, 0.796, 0.750)
Sr (0.796, 0.204, 0.250)
Mg (0.447, 0.553, 0.750)
Mg (0.553, 0.447, 0.250)
Zn (0.138, 0.862, 0.250)
Zn (0.862, 0.138, 0.750)
Ag (0.198, 0.198, 0.000)
Ag (0.198, 0.198, 0.500)
Ag (0.343, 0.657, 0.250)
Ag (0.657, 0.343, 0.750)
Ag (0.802, 0.802, 0.000)
Ag (0.802, 0.802, 0.500)

**Total energy**: -0.083 Ha/atom


11.
Below is crystalline Sr2Mg6ZnAg at its relaxed geometry, with properties calculated at the GGA-PBE level.

a = 7.245 Å, b = 7.253 Å, c = 7.438 Å
α = 61.02°, β = 60.88°, γ = 60.19°
Fractional positions:
Sr (0.208, 0.210, 0.372)
Sr (0.792, 0.790, 0.628)
Mg (0.248, 0.675, 0.829)
Mg (0.250, 0.246, 0.829)
Mg (0.325, 0.753, 0.171)
Mg (0.675, 0.247, 0.829)
Mg (0.750, 0.754, 0.171)
Mg (0.752, 0.325, 0.171)
Zn (0.000, 0.000, 0.000)
Ag (0.500, 0.500, 0.500)

**Total energy**: -0.065 Ha/atom


12.
Below is crystalline SrMgZnAg at its relaxed geometry, with properties calculated at the GGA-PBE level.

a = 8.206 Å, b = 4.729 Å, c = 6.066 Å
α = 90.00°, β = 116.77°, γ = 90.00°
Fractional positions:
Sr (0.000, 0.000, 0.000)
Sr (0.500, 0.500, 0.000)
Mg (0.497, 0.000, 0.492)
Mg (0.997, 0.500, 0.492)
Zn (0.201, 0.000, 0.602)
Zn (0.701, 0.500, 0.602)
Ag (0.302, 0.500, 0.405)
Ag (0.802, 0.000, 0.405)

**Total energy**: -0.076 Ha/atom


13.
Below is crystalline SrMgZn2Ag4 at its relaxed geometry, with properties calculated at the GGA-PBE level.

a = 9.557 Å, b = 9.557 Å, c = 9.557 Å
α = 27.78°, β = 27.78°, γ = 27.78°
Fractional positions:
Sr (0.000, 0.000, 0.000)
Mg (0.500, 0.500, 0.500)
Zn (0.238, 0.238, 0.238)
Zn (0.762, 0.762, 0.762)
Ag (0.128, 0.128, 0.128)
Ag (0.404, 0.404, 0.404)
Ag (0.596, 0.596, 0.596)
Ag (0.872, 0.872, 0.872)

**Total energy**: -0.084 Ha/atom


14.
Below is crystalline SrMg4ZnAg2 at its relaxed geometry, with properties calculated at the GGA-PBE level.

a = 10.088 Å, b = 10.088 Å, c = 10.088 Å
α = 27.01°, β = 27.01°, γ = 27.01°
Fractional positions:
Sr (0.000, 0.000, 0.000)
Mg (0.135, 0.135, 0.135)
Mg (0.408, 0.408, 0.408)
Mg (0.592, 0.592, 0.592)
Mg (0.865, 0.865, 0.865)
Zn (0.500, 0.500, 0.500)
Ag (0.242, 0.242, 0.242)
Ag (0.758, 0.758, 0.758)

**Total energy**: -0.074 Ha/atom


15.
Below is crystalline SrMg6ZnAg at its relaxed geometry, with properties calculated at the GGA-PBE level.

a = 8.827 Å, b = 8.827 Å, c = 8.827 Å
α = 128.11°, β = 112.89°, γ = 89.64°
Fractional positions:
Sr (0.441, 0.191, 0.250)
Sr (0.559, 0.809, 0.750)
Mg (0.109, 0.428, 0.285)
Mg (0.109, 0.824, 0.681)
Mg (0.152, 0.902, 0.250)
Mg (0.262, 0.512, 0.750)
Mg (0.357, 0.176, 0.785)
Mg (0.357, 0.572, 0.181)
Mg (0.643, 0.428, 0.819)
Mg (0.643, 0.824, 0.215)
Mg (0.738, 0.488, 0.250)
Mg (0.848, 0.098, 0.750)
Mg (0.891, 0.176, 0.319)
Mg (0.891, 0.572, 0.715)
Zn (0.000, 0.000, 0.500)
Zn (0.000, 0.500, 0.000)
Ag (0.000, 0.000, 0.000)
Ag (0.500, 0.000, 0.500)

**Total energy**: -0.062 Ha/atom


16.
Below is crystalline Sr2MgZnAg6 at its relaxed geometry, with properties calculated at the GGA-PBE level.

a = 5.765 Å, b = 7.154 Å, c = 7.258 Å
α = 78.23°, β = 66.68°, γ = 66.36°
Fractional positions:
Sr (0.247, 0.295, 0.213)
Sr (0.753, 0.705, 0.787)
Mg (0.000, 0.000, 0.000)
Zn (0.500, 0.500, 0.500)
Ag (0.241, 0.755, 0.264)
Ag (0.250, 0.905, 0.593)
Ag (0.261, 0.245, 0.736)
Ag (0.739, 0.755, 0.264)
Ag (0.750, 0.095, 0.407)
Ag (0.759, 0.245, 0.736)

**Total energy**: -0.091 Ha/atom


17.
Below is crystalline SrMgZr2Ag at its relaxed geometry, with properties calculated at the GGA-PBE level.

a = 5.356 Å, b = 5.356 Å, c = 5.187 Å
α = 90.00°, β = 90.00°, γ = 90.00°
Fractional positions:
Sr (0.000, 0.000, 0.000)
Mg (0.500, 0.500, 0.000)
Zr (0.000, 0.500, 0.500)
Zr (0.500, 0.000, 0.500)
Ag (0.500, 0.500, 0.500)

**Total energy**: -0.149 Ha/atom


18.
Below is crystalline MgTaAg at its relaxed geometry, with properties calculated at the GGA-PBE level.

a = 3.741 Å, b = 3.741 Å, c = 8.187 Å
α = 90.00°, β = 90.00°, γ = 90.00°
Fractional positions:
Mg (0.250, 0.750, 0.000)
Mg (0.750, 0.250, 0.000)
Ta (0.250, 0.250, 0.417)
Ta (0.750, 0.750, 0.583)
Ag (0.250, 0.250, 0.753)
Ag (0.750, 0.750, 0.247)

**Relative energy among the computed polymorphs**: 0.386 eV per atom
**Total energy**: -0.183 Ha/atom


19.
Below is crystalline MgTaAg at its relaxed geometry, with properties calculated at the GGA-PBE level.

a = 3.628 Å, b = 4.518 Å, c = 13.563 Å
α = 90.00°, β = 90.00°, γ = 90.00°
Fractional positions:
Mg (0.000, 0.000, 0.000)
Mg (0.000, 0.000, 0.328)
Mg (0.500, 0.500, 0.000)
Mg (0.500, 0.500, 0.328)
Ta (0.000, 0.000, 0.668)
Ta (0.000, 0.500, 0.506)
Ta (0.500, 0.000, 0.506)
Ta (0.500, 0.500, 0.668)
Ag (0.000, 0.500, 0.163)
Ag (0.000, 0.500, 0.837)
Ag (0.500, 0.000, 0.163)
Ag (0.500, 0.000, 0.837)

**Relative energy among the computed polymorphs**: 0.000 eV per atom
**Total energy**: -0.198 Ha/atom


20.
Below is crystalline MgTaAg at its relaxed geometry, with properties calculated at the GGA-PBE level.

a = 3.365 Å, b = 4.521 Å, c = 14.434 Å
α = 90.00°, β = 90.00°, γ = 90.00°
Fractional positions:
Mg (0.000, 0.000, 0.000)
Mg (0.000, 0.500, 0.500)
Mg (0.500, 0.000, 0.500)
Mg (0.500, 0.500, 0.000)
Ta (0.000, 0.000, 0.328)
Ta (0.000, 0.500, 0.828)
Ta (0.500, 0.000, 0.828)
Ta (0.500, 0.500, 0.328)
Ag (0.000, 0.000, 0.662)
Ag (0.000, 0.500, 0.162)
Ag (0.500, 0.000, 0.162)
Ag (0.500, 0.500, 0.662)

**Relative energy among the computed polymorphs**: 0.148 eV per atom
**Total energy**: -0.192 Ha/atom


no.,total magnetic moment (μB per formula unit),energy relative to the elements (eV per atom),DOS(E_F) (states/eV per atom)
1,0.00,-0.08,0.67
2,0.00,-0.18,0.43
3,0.00,0.10,0.48
4,0.00,-0.24,0.52
5,0.00,-0.22,0.42
6,0.00,0.04,0.44
7,0.00,-0.20,0.53
8,0.00,-0.22,0.25
9,0.00,-0.02,0.33
10,0.00,-0.08,0.43
11,0.00,-0.07,0.37
12,0.00,-0.21,0.50
13,0.00,-0.14,0.45
14,0.00,-0.12,0.38
15,0.00,0.03,0.48
16,0.00,-0.15,0.28
17,1.64,0.60,1.39
18,0.00,0.44,0.54
19,0.00,0.06,0.84
20,0.00,0.21,0.71